Record 1
The following is a PBE calculation of an optimized crystal structure of Mo2PdCl, from the Alexandria database.

a = 4.4249 Å, b = 4.4249 Å, c = 4.4249 Å
α = 60.00°, β = 60.00°, γ = 60.00°
Last column: nearest neighbours and their distance in Å.
Atoms (fractional coordinates):
1 Mo 0.2500 0.2500 0.2500  4 Pd 2.71, 4 Cl 2.71
2 Mo 0.7500 0.7500 0.7500  4 Pd 2.71, 4 Cl 2.71
3 Pd 0.5000 0.5000 0.5000  8 Mo 2.71
4 Cl 0.0000 0.0000 0.0000  8 Mo 2.71

Computed properties:
size of the total moment	0.0	μB/cell
ΔE_f (raw)	249	kJ/mol of formula units
final energy	-6.5299	eV per atom
density	9.0	g/cm³
relative energy among the computed polymorphs	0	meV per atom

---

Record 2
The following is a PBE calculation of an optimized crystal structure of YErZnRh, from the Alexandria database.

a = 3.4820 Å, b = 3.4820 Å, c = 7.0395 Å
α = 90.00°, β = 90.00°, γ = 90.00°
Last column: nearest neighbours and their distance in Å.
Atoms (fractional coordinates):
1 Y 0.0000 0.0000 0.8718  4 Rh 2.99, 4 Zn 3.11, 1 Er 3.30
2 Er 0.0000 0.0000 0.3402  4 Rh 2.93, 4 Zn 3.07
3 Zn 0.5000 0.5000 0.6018  4 Er 3.07, 4 Y 3.11, 1 Rh 3.43
4 Rh 0.5000 0.5000 0.1141  4 Er 2.93, 4 Y 2.99

Computed properties:
size of the total moment	0.0	μB/cell
final energy	-5.5403	eV per atom
calculated formation energy	-627	meV per atom
density	8.3	g/cm³
relative energy among the computed polymorphs	0	meV per atom

---

Record 3
The following is a PBE calculation of an optimized crystal structure of CaErSc2, from the Alexandria database.

a = 4.8343 Å, b = 4.9119 Å, c = 4.9119 Å
α = 90.00°, β = 90.00°, γ = 90.00°
Last column: nearest neighbours and their distance in Å.
Atoms (fractional coordinates):
1 Sc 0.0000 0.0000 0.5000  4 Er 3.45, 4 Ca 3.45, 4 Sc 3.47
2 Sc 0.0000 0.5000 0.0000  4 Er 3.45, 4 Ca 3.45, 4 Sc 3.47
3 Ca 0.5000 0.0000 0.0000  8 Sc 3.45, 4 Er 3.47
4 Er 0.5000 0.5000 0.5000  8 Sc 3.45, 4 Ca 3.47

Computed properties:
size of the total moment	0.4	μB/cell
final energy	-4.5900	eV per atom
calculated formation energy	217	meV per atom
density	4.2	g/cm³
relative energy among the computed polymorphs	77	meV per atom

---

Record 4
The following is a PBE calculation of an optimized crystal structure of BeRuO2, from the Alexandria database.

a = 4.9142 Å, b = 4.9142 Å, c = 4.9142 Å
α = 40.27°, β = 40.27°, γ = 40.27°
Last column: nearest neighbours and their distance in Å.
Atoms (fractional coordinates):
1 Ru 0.5000 0.5000 0.5000  6 O 2.11
2 O 0.8925 0.8925 0.8925  1 Be 1.45
3 O 0.1075 0.1075 0.1075  1 Be 1.45
4 Be 0.0000 0.0000 0.0000  2 O 1.45

Computed properties:
size of the total moment	0.0	μB/cell
ΔE_f (raw)	-365	kJ/mol of formula units
final energy	-6.6746	eV per atom
density	5.3	g/cm³
relative energy among the computed polymorphs	358	meV per atom

---

Record 5
The following is a PBE calculation of an optimized crystal structure of Nd2SmY3Bi6, from the Alexandria database.

a = 7.8666 Å, b = 7.8666 Å, c = 7.8512 Å
α = 99.60°, β = 99.60°, γ = 120.01°
Last column: nearest neighbours and their distance in Å.
Atoms (fractional coordinates):
1 Nd 0.3337 0.6663 0.0000  6 Bi 3.24-3.25
2 Nd 0.6663 0.3337 0.0000  6 Bi 3.24-3.25
3 Sm 0.0000 0.0000 0.0000  6 Bi 3.23
4 Y 0.1676 0.8324 0.5000  6 Bi 3.17-3.18
5 Y 0.8324 0.1676 0.5000  6 Bi 3.17-3.18
6 Y 0.5000 0.5000 0.5000  6 Bi 3.18-3.19
7 Bi 0.9146 0.5830 0.7434  3 Y 3.17-3.18, 1 Sm 3.23, 2 Nd 3.24-3.25
8 Bi 0.7546 0.7546 0.2576  3 Y 3.18-3.19, 1 Sm 3.23, 2 Nd 3.25
9 Bi 0.0854 0.4170 0.2566  3 Y 3.17-3.18, 1 Sm 3.23, 2 Nd 3.24-3.25
10 Bi 0.5830 0.9146 0.7434  3 Y 3.17-3.18, 1 Sm 3.23, 2 Nd 3.24-3.25
11 Bi 0.2454 0.2454 0.7424  3 Y 3.18-3.19, 1 Sm 3.23, 2 Nd 3.25
12 Bi 0.4170 0.0854 0.2566  3 Y 3.17-3.18, 1 Sm 3.23, 2 Nd 3.24-3.25

Computed properties:
size of the total moment	0.0	μB/cell
final energy	-5.6623	eV per atom
calculated formation energy	-918	meV per atom
density	8.2	g/cm³

---

Record 6
The following is a PBE calculation of an optimized crystal structure of RbHgPb2Cl8, from the Alexandria database.

a = 6.8248 Å, b = 6.6565 Å, c = 8.9251 Å
α = 90.11°, β = 89.93°, γ = 85.84°
Last column: nearest neighbours and their distance in Å.
Atoms (fractional coordinates):
1 Rb 0.0000 0.0000 0.5000  6 Cl 3.20-3.26
2 Hg 0.0000 0.0000 0.0000  4 Cl 2.56-2.61
3 Pb 0.5007 0.4997 0.7597  6 Cl 2.81-2.89
4 Pb 0.4993 0.5003 0.2403  6 Cl 2.81-2.89
5 Cl 0.1640 0.7672 0.2066  1 Hg 2.61, 1 Pb 2.81
6 Cl 0.6577 0.7204 0.0006  2 Pb 2.85, 1 Hg 3.09
7 Cl 0.8385 0.2281 0.2040  1 Hg 2.56, 1 Pb 2.85
8 Cl 0.8360 0.2328 0.7934  1 Hg 2.61, 1 Pb 2.81
9 Cl 0.3423 0.2796 0.9994  2 Pb 2.85, 1 Hg 3.09
10 Cl 0.1615 0.7719 0.7960  1 Hg 2.56, 1 Pb 2.85
11 Cl 0.6391 0.7056 0.4999  2 Pb 2.89
12 Cl 0.3609 0.2944 0.5001  2 Pb 2.89

Computed properties:
size of the total moment	0.0	μB/cell
ΔE_f (raw)	-1157	kJ/mol of formula units
final energy	-2.9546	eV per atom
density	4.0	g/cm³

---

Record 7
The following is a PBE calculation of an optimized crystal structure of Cr2SiH2, from the Alexandria database.

a = 2.8560 Å, b = 2.8560 Å, c = 5.3233 Å
α = 74.44°, β = 74.44°, γ = 90.00°
Last column: nearest neighbours and their distance in Å.
Atoms (fractional coordinates):
1 Cr 0.3513 0.3513 0.2975  4 H 1.74
2 Cr 0.6487 0.6487 0.7025  4 H 1.74
3 Si 0.0000 0.0000 0.0000  8 Cr 2.50
4 H 0.7500 0.2500 0.5000  4 Cr 1.74
5 H 0.2500 0.7500 0.5000  4 Cr 1.74

Computed properties:
size of the total moment	0.0	μB/cell
final energy	-6.3541	eV per atom
density	5.5	g/cm³

---

Record 8
The following is a PBE calculation of an optimized crystal structure of CaScBi2, from the Alexandria database.

a = 4.3167 Å, b = 4.3167 Å, c = 8.0477 Å
α = 89.86°, β = 105.61°, γ = 120.19°
Last column: nearest neighbours and their distance in Å.
Atoms (fractional coordinates):
1 Ca 0.0000 0.5000 0.5000  6 Bi 3.26
2 Sc 0.0000 0.0000 0.0000  6 Bi 3.03
3 Bi 0.5167 0.2584 0.7751  3 Sc 3.03, 3 Ca 3.26
4 Bi 0.4833 0.7416 0.2249  3 Sc 3.03, 3 Ca 3.26

Computed properties:
size of the total moment	0.0	μB/cell
final energy	-4.6755	eV per atom
calculated formation energy	-652	meV per atom
density	6.8	g/cm³
relative energy among the computed polymorphs	0	meV per atom

---

Record 9
The following is a PBE calculation of an optimized crystal structure of BaSr2NiB, from the Alexandria database.

a = 5.5863 Å, b = 5.8095 Å, c = 5.5863 Å
α = 90.00°, β = 90.00°, γ = 90.00°
Last column: nearest neighbours and their distance in Å.
Atoms (fractional coordinates):
1 Sr 0.0000 0.0000 0.5000  2 Ni 2.79
2 Sr 0.5000 0.0000 0.0000  2 Ni 2.79
3 B 0.5000 0.5000 0.5000  4 Ba 3.95, 8 Sr 4.03
4 Ba 0.0000 0.5000 0.0000  2 Ni 2.90
5 Ni 0.0000 0.0000 0.0000  4 Sr 2.79, 2 Ba 2.90

Computed properties:
size of the total moment	1.1	μB/cell
final energy	-2.7406	eV per atom
calculated formation energy	808	meV per atom
density	3.5	g/cm³

---

Record 10
The following is a PBE calculation of an optimized crystal structure of TaMoW6, from the Alexandria database.

a = 5.6531 Å, b = 5.6531 Å, c = 5.6531 Å
α = 110.38°, β = 110.38°, γ = 110.38°
Last column: nearest neighbours and their distance in Å.
Atoms (fractional coordinates):
1 Ta 0.0000 0.0000 0.0000  2 Mo 2.70, 6 W 2.74
2 Mo 0.5000 0.5000 0.5000  6 W 2.69, 2 Ta 2.70
3 W 0.7498 0.2545 0.7498  6 W 2.68-2.85, 1 Mo 2.69, 1 Ta 2.74
4 W 0.7498 0.7498 0.2545  6 W 2.68-2.85, 1 Mo 2.69, 1 Ta 2.74
5 W 0.2502 0.7455 0.2502  6 W 2.68-2.85, 1 Mo 2.69, 1 Ta 2.74
6 W 0.7455 0.2502 0.2502  6 W 2.68-2.85, 1 Mo 2.69, 1 Ta 2.74
7 W 0.2502 0.2502 0.7455  6 W 2.68-2.85, 1 Mo 2.69, 1 Ta 2.74
8 W 0.2545 0.7498 0.7498  6 W 2.68-2.85, 1 Mo 2.69, 1 Ta 2.74

Computed properties:
size of the total moment	0.0	μB/cell
final energy	-12.2632	eV per atom
calculated formation energy	287	meV per atom
density	17.1	g/cm³
relative energy among the computed polymorphs	349	meV per atom

---

Record 11
The following is a PBE calculation of an optimized crystal structure of Y3Ta, from the Alexandria database.

a = 3.2046 Å, b = 6.3218 Å, c = 6.3218 Å
α = 117.20°, β = 80.27°, γ = 80.27°
Last column: nearest neighbours and their distance in Å.
Atoms (fractional coordinates):
1 Ta 0.0000 0.0000 0.0000  2 Ta 3.20, 6 Y 3.29
2 Y 0.5000 0.0000 0.5000  6 Y 3.20-3.29, 2 Ta 3.29
3 Y 0.5000 0.5000 0.0000  6 Y 3.20-3.29, 2 Ta 3.29
4 Y 0.0000 0.5000 0.5000  6 Y 3.20-3.29, 2 Ta 3.29

Computed properties:
size of the total moment	0.0	μB/cell
final energy	-7.3303	eV per atom
calculated formation energy	481	meV per atom
density	6.9	g/cm³
relative energy among the computed polymorphs	212	meV per atom

---

Record 12
The following is a PBE calculation of an optimized crystal structure of La3TlRh, from the Alexandria database.

a = 5.8025 Å, b = 6.9329 Å, c = 9.3568 Å
α = 110.36°, β = 90.15°, γ = 114.52°
Last column: nearest neighbours and their distance in Å.
Atoms (fractional coordinates):
1 La 0.3756 0.7519 0.0897  3 Rh 2.88-2.91
2 La 0.1545 0.3059 0.6425  1 Rh 2.87
3 La 0.8907 0.7809 0.7671  2 Rh 2.82-2.89
4 La 0.1093 0.2191 0.2329  2 Rh 2.82-2.89
5 La 0.6244 0.2481 0.9103  3 Rh 2.88-2.91
6 La 0.8455 0.6941 0.3575  1 Rh 2.87
7 Tl 0.6071 0.2116 0.4481  1 Tl 3.17, 6 La 3.35-3.55
8 Tl 0.3929 0.7884 0.5519  1 Tl 3.17, 6 La 3.35-3.55
9 Rh 0.8698 0.7401 0.0641  6 La 2.82-2.91
10 Rh 0.1302 0.2599 0.9359  6 La 2.82-2.91

Computed properties:
size of the total moment	0.0	μB/cell
final energy	-5.3929	eV per atom
calculated formation energy	-493	meV per atom
density	7.6	g/cm³
relative energy among the computed polymorphs	0	meV per atom

---

| no. | D(E_F) (states/eV per atom) |
| --- | --- |
| 1 | 1.239 |
| 2 | 0.780 |
| 3 | 2.254 |
| 4 | 0.000 |
| 5 | 0.186 |
| 6 | 0.418 |
| 7 | 0.484 |
| 8 | 0.440 |
| 9 | 0.527 |
| 10 | 0.500 |
| 11 | 2.032 |
| 12 | 0.983 |